DFT (PBE-GGA) results for a relaxed CaAlTc crystal.

a b c (Å): 3.1690 3.1690 6.8580
angles (deg): 90.00 90.00 120.00
Closest atoms and distances in Å follow each position.
Element x y z (fractional)
Ca: 0.6667 0.3333 0.3523  3 Tc 2.97, 6 Ca 3.17, 3 Al 3.28
Tc: 0.3333 0.6667 0.6930  3 Al 2.56
Al: 0.0000 0.0000 0.9547  3 Tc 2.56

Excess energy over the best structure of this formula in the dataset   323 meV/atom
E_form   339 meV/atom
Magnetization   0.00 μB/atom
Calculated volume   59.6 Å³/cell

---

DFT (PBE-GGA) results for a relaxed Ca2AlTc crystal.

a b c (Å): 5.8636 5.8636 5.0111
angles (deg): 64.71 64.71 37.61
Closest atoms and distances in Å follow each position.
Element x y z (fractional)
Ca: 0.9820 0.9820 0.0182  4 Tc 3.20, 4 Ca 3.27-3.42, 4 Al 3.33-3.34
Ca: 0.7692 0.7692 0.7305  4 Al 3.20, 4 Ca 3.27-3.42, 4 Tc 3.31-3.36
Tc: 0.5439 0.5439 0.4568  2 Al 2.47
Al: 0.2049 0.2049 0.2946  2 Tc 2.47

E_form   159 meV/atom
Magnetization   0.00 μB/atom
Calculated volume   93.8 Å³/cell

---

DFT (PBE-GGA) results for a relaxed CaAlTc2 crystal.

a b c (Å): 5.2245 5.2245 5.2245
angles (deg): 135.45 135.45 64.83
Closest atoms and distances in Å follow each position.
Element x y z (fractional)
Ca: 0.7500 0.2500 0.5000  4 Al 2.80, 8 Tc 2.96
Tc: 0.0000 0.0000 0.0000  4 Tc 2.80, 4 Al 2.96, 4 Ca 2.96
Tc: 0.5000 0.5000 0.0000  4 Tc 2.80, 4 Ca 2.96, 4 Al 2.96
Al: 0.2500 0.7500 0.5000  4 Ca 2.80, 8 Tc 2.96

E_form   468 meV/atom
Magnetization   0.07 μB/atom
Calculated volume   69.2 Å³/cell

---

DFT (PBE-GGA) results for a relaxed CaAlTc2 crystal.

a b c (Å): 4.5654 4.5654 4.5654
angles (deg): 60.00 60.00 60.00
Closest atoms and distances in Å follow each position.
Element x y z (fractional)
Ca: 0.2500 0.2500 0.2500  4 Al 2.80, 4 Tc 2.80
Tc: 0.0000 0.0000 0.0000  4 Ca 2.80, 4 Tc 2.80
Tc: 0.7500 0.7500 0.7500  4 Tc 2.80, 4 Al 2.80
Al: 0.5000 0.5000 0.5000  4 Tc 2.80, 4 Ca 2.80

E_form   196 meV/atom
Magnetization   0.00 μB/atom
Calculated volume   67.3 Å³/cell

---

DFT (PBE-GGA) results for a relaxed CaAl2Tc crystal.

a b c (Å): 5.2753 5.2753 5.2302
angles (deg): 76.50 76.50 31.03
Closest atoms and distances in Å follow each position.
Element x y z (fractional)
Ca: 0.5007 0.5007 0.4908  2 Ca 2.82, 7 Al 2.93-3.12, 1 Tc 3.12
Tc: 0.7256 0.7256 0.8034  4 Al 2.66-2.75, 2 Tc 2.82
Al: 0.0003 0.0003 0.9826  2 Tc 2.66, 4 Al 2.74-2.82, 2 Ca 2.93
Al: 0.2734 0.2734 0.2232  4 Al 2.74-2.82, 2 Tc 2.75, 1 Ca 2.98

Excess energy over the best structure of this formula in the dataset   402 meV/atom
E_form   145 meV/atom
Magnetization   0.00 μB/atom
Calculated volume   72.8 Å³/cell

---

DFT (PBE-GGA) results for a relaxed Ca2AlTc crystal.

a b c (Å): 4.1608 4.1608 10.9108
angles (deg): 79.01 79.01 90.00
Closest atoms and distances in Å follow each position.
Element x y z (fractional)
Ca: 0.6330 0.1250 0.2500  4 Ca 2.90-2.99, 2 Tc 3.00, 2 Al 3.02
Ca: 0.1170 0.6250 0.2500  4 Ca 2.90-2.99, 2 Tc 3.00, 2 Al 3.02
Ca: 0.3750 0.3670 0.7500  4 Ca 2.90-2.99, 2 Tc 3.00, 2 Al 3.02
Ca: 0.8750 0.8830 0.7500  4 Ca 2.90-2.99, 2 Tc 3.00, 2 Al 3.02
Tc: 0.0000 0.0000 0.0000  4 Al 2.94, 4 Ca 3.00
Tc: 0.7500 0.2500 0.5000  4 Al 2.94, 4 Ca 3.00
Al: 0.5000 0.5000 0.0000  4 Tc 2.94, 4 Ca 3.02
Al: 0.2500 0.7500 0.5000  4 Tc 2.94, 4 Ca 3.02

E_form   730 meV/atom
Magnetization   0.30 μB/atom
Calculated volume   181.9 Å³/cell

---

DFT (PBE-GGA) results for a relaxed Ca2AlTc crystal.

a b c (Å): 10.1833 10.1833 10.1833
angles (deg): 18.45 18.45 18.45
Closest atoms and distances in Å follow each position.
Element x y z (fractional)
Ca: 0.9942 0.9942 0.9942  3 Tc 2.99, 6 Ca 3.27, 3 Al 3.27
Ca: 0.5058 0.5058 0.5058  3 Tc 2.99, 6 Ca 3.27, 3 Al 3.27
Tc: 0.2500 0.2500 0.2500  6 Ca 2.99, 6 Tc 3.27
Al: 0.7500 0.7500 0.7500  6 Al 3.27, 6 Ca 3.27

E_form   504 meV/atom
Magnetization   0.30 μB/atom
Calculated volume   92.4 Å³/cell

---

DFT (PBE-GGA) results for a relaxed Ca2AlTc crystal.

a b c (Å): 4.3026 4.2204 6.0391
angles (deg): 69.54 90.00 90.00
Closest atoms and distances in Å follow each position.
Element x y z (fractional)
Ca: 0.0000 0.9805 0.9140  3 Tc 3.08-3.42, 4 Al 3.18
Ca: 0.5000 0.2696 0.3357  3 Al 3.08-3.41, 4 Tc 3.18
Tc: 0.0000 0.6785 0.5176  2 Al 2.47
Al: 0.5000 0.5714 0.7326  2 Tc 2.47

E_form   175 meV/atom
Magnetization   0.00 μB/atom
Calculated volume   102.7 Å³/cell